# Ca4PdPt (PBE, relaxed)
data_Ca4PdPt
_symmetry_space_group_name_H-M 'P 4/m m m'
_symmetry_Int_Tables_number 123
_symmetry_space_group_name_Hall '-P 4 2'
_cell_length_a 4.961
_cell_length_b 4.961
_cell_length_c 7.044
_cell_angle_alpha 90.00
_cell_angle_beta 90.00
_cell_angle_gamma 90.00
loop_
_atom_site_label
_atom_site_type_symbol
_atom_site_fract_x
_atom_site_fract_y
_atom_site_fract_z
Ca1 Ca 0.000 0.500 0.247
Pd1 Pd 0.000 0.000 0.500
Pt1 Pt 0.500 0.500 0.000
# Formation enthalpy at 0 K ... -0.635 eV/atom